(1)
KU2GaO8 | Alexandria | GGA-PBE | optimized geometry; energy relative to the elements, uncorrected = -2.57 eV per atom; E = -8.104 eV/atom
1.0
3.3778 -3.6982 0.0000
3.3778 3.6982 0.0000
0.0000 0.0000 7.0006
K U Ga O
1 2 1 8
Direct
0.0000 0.0000 0.0000
0.5000 0.5000 0.2561
0.5000 0.5000 0.7439
0.0000 0.0000 0.5000
0.2069 0.2069 0.3005
0.2069 0.2069 0.6995
0.3178 0.6822 0.5000
0.3380 0.6620 0.0000
0.6620 0.3380 0.0000
0.6822 0.3178 0.5000
0.7931 0.7931 0.3005
0.7931 0.7931 0.6995

***

(2)
FeBiIN2 | Alexandria | GGA-PBE | optimized geometry; energy relative to the elements, uncorrected = 1.39 eV per atom; E above lowest polymorph = 0 meV/atom; E = -4.715 eV/atom
1.0
4.1386 0.0000 0.0000
0.0000 4.1386 0.0000
0.0000 0.0000 5.1308
Fe Bi I N
1 1 1 2
Direct
0.0000 0.0000 0.0000
0.5000 0.5000 0.5000
0.0000 0.0000 0.5000
0.0000 0.5000 0.0000
0.5000 0.0000 0.0000

***

(3)
MnFeTe2 | Alexandria | GGA-PBE | optimized geometry; energy relative to the elements, uncorrected = 0.20 eV per atom; E = -5.781 eV/atom
1.0
-1.7785 1.8444 6.3263
1.7785 -1.8444 6.3263
1.7785 1.8444 -6.3263
Mn Fe Te
1 1 2
Direct
0.0000 0.0000 0.0000
0.7570 0.2570 0.5000
0.3355 0.8355 0.5000
0.5923 0.5923 0.0000

***

(4)
RhWAu2 | Alexandria | GGA-PBE | optimized geometry; formation energy from the elements = 255 meV per atom; E above lowest polymorph = 208 meV/atom; E = -6.460 eV/atom
1.0
-1.9914 1.9914 4.0756
1.9914 -1.9914 4.0756
1.9914 1.9914 -4.0756
Rh W Au
1 1 2
Direct
0.0000 0.0000 0.0000
0.7500 0.2500 0.5000
0.2500 0.7500 0.5000
0.5000 0.5000 0.0000

***

(5)
WCN2 | Alexandria | GGA-PBE | optimized geometry; energy relative to the elements, uncorrected = 1.66 eV per atom; E = -8.047 eV/atom
1.0
1.3227 0.7637 5.9035
-1.3227 0.7637 5.9035
0.0000 -1.5273 5.9035
W C N
1 1 2
Direct
0.0000 0.0000 0.0000
0.5000 0.5000 0.5000
0.1158 0.1158 0.1158
0.8842 0.8842 0.8842

***

(6)
AcPaCu4 | Alexandria | GGA-PBE | optimized geometry; formation energy from the elements = 143 meV per atom; E = -4.855 eV/atom
1.0
0.0000 3.7992 3.7992
3.7992 0.0000 3.7992
3.7992 3.7992 0.0000
Ac Pa Cu
1 1 4
Direct
0.0000 0.0000 0.0000
0.2500 0.2500 0.2500
0.1300 0.6233 0.6233
0.6233 0.1300 0.6233
0.6233 0.6233 0.1300
0.6233 0.6233 0.6233

***

(7)
Pm2Er3Tl4 | Alexandria | GGA-PBE | optimized geometry; formation energy from the elements = -234 meV per atom; E above lowest polymorph = 57 meV/atom; E = -3.862 eV/atom
1.0
3.5659 -8.2739 0.0000
3.5659 8.2739 0.0000
0.0000 0.0000 9.0935
Pm Er Tl
4 6 8
Direct
0.1099 0.8901 0.9226
0.3901 0.6099 0.4226
0.6099 0.3901 0.5774
0.8901 0.1099 0.0774
0.0000 0.0000 0.5000
0.0355 0.4645 0.7500
0.4645 0.0355 0.2500
0.5000 0.5000 0.0000
0.5355 0.9645 0.7500
0.9645 0.5355 0.2500
0.1856 0.8144 0.5426
0.2188 0.2812 0.7500
0.2812 0.2188 0.2500
0.3144 0.6856 0.0426
0.6856 0.3144 0.9574
0.7188 0.7812 0.7500
0.7812 0.7188 0.2500
0.8144 0.1856 0.4574

***

(8)
Re2SbTe | Alexandria | GGA-PBE | optimized geometry; energy relative to the elements, uncorrected = 0.72 eV per atom; E above lowest polymorph = 407 meV/atom; E = -7.325 eV/atom
1.0
4.6507 0.0000 0.0000
0.0000 4.6507 0.0000
0.0000 0.0000 3.2900
Re Sb Te
2 1 1
Direct
0.0000 0.5000 0.0000
0.5000 0.0000 0.0000
0.0000 0.0000 0.5000
0.5000 0.5000 0.5000

***

(9)
Ac2BeGa | Alexandria | GGA-PBE | optimized geometry; formation energy from the elements = -26 meV per atom; E above lowest polymorph = 10 meV/atom; E = -3.768 eV/atom
1.0
0.0000 3.8488 3.8488
3.8488 0.0000 3.8488
3.8488 3.8488 0.0000
Ac Be Ga
2 1 1
Direct
0.2500 0.2500 0.2500
0.7500 0.7500 0.7500
0.0000 0.0000 0.0000
0.5000 0.5000 0.5000

***

(10)
Li6Mg12Al | Alexandria | GGA-PBE | optimized geometry; formation energy from the elements = 26 meV per atom; E above lowest polymorph = 52 meV/atom; E = -1.783 eV/atom
1.0
4.6358 2.6765 5.7123
-4.6358 2.6765 5.7123
0.0000 -5.3530 5.7123
Li Mg Al
6 12 1
Direct
0.1461 0.1461 0.5330
0.1461 0.5330 0.1461
0.4670 0.8539 0.8539
0.5330 0.1461 0.1461
0.8539 0.4670 0.8539
0.8539 0.8539 0.4670
0.1075 0.7622 0.7622
0.1915 0.5181 0.5181
0.2378 0.2378 0.8925
0.2378 0.8925 0.2378
0.4819 0.4819 0.8085
0.4819 0.8085 0.4819
0.5181 0.1915 0.5181
0.5181 0.5181 0.1915
0.7622 0.1075 0.7622
0.7622 0.7622 0.1075
0.8085 0.4819 0.4819
0.8925 0.2378 0.2378
0.0000 0.0000 0.0000

***

(11)
Hf3GaTe3 | Alexandria | GGA-PBE | optimized geometry; energy relative to the elements, uncorrected = -0.64 eV per atom; E = -6.685 eV/atom
1.0
-5.6371 5.6371 5.6371
5.6371 -5.6371 5.6371
5.6371 5.6371 -5.6371
Hf Ga Te
12 4 12
Direct
0.0113 0.0226 0.2613
0.0113 0.4887 0.7500
0.0226 0.2613 0.0113
0.2387 0.2613 0.7500
0.2387 0.4774 0.4887
0.2613 0.0113 0.0226
0.2613 0.7500 0.2387
0.4774 0.4887 0.2387
0.4887 0.2387 0.4774
0.4887 0.7500 0.0113
0.7500 0.0113 0.4887
0.7500 0.2387 0.2613
0.0000 0.2500 0.5000
0.2500 0.2500 0.2500
0.2500 0.5000 0.0000
0.5000 0.0000 0.2500
0.2500 0.7569 0.7431
0.2500 0.9931 0.5069
0.5069 0.2500 0.9931
0.5069 0.7569 0.5137
0.5137 0.5069 0.7569
0.7431 0.2500 0.7569
0.7431 0.9931 0.9863
0.7569 0.5137 0.5069
0.7569 0.7431 0.2500
0.9863 0.7431 0.9931
0.9931 0.5069 0.2500
0.9931 0.9863 0.7431

***

(12)
LaPm7Cd4 | Alexandria | GGA-PBE | optimized geometry; formation energy from the elements = -30 meV per atom; E = -3.517 eV/atom
1.0
7.5086 -2.9293 0.0000
7.5086 2.9293 0.0000
-5.3162 0.0000 8.4440
La Pm Cd
1 7 4
Direct
0.0000 0.0000 0.0000
0.0697 0.0697 0.4115
0.2047 0.2047 0.8817
0.2649 0.2649 0.3092
0.5000 0.5000 0.0000
0.7351 0.7351 0.6908
0.7953 0.7953 0.1183
0.9303 0.9303 0.5885
0.3181 0.3181 0.6577
0.4592 0.4592 0.2853
0.5408 0.5408 0.7147
0.6819 0.6819 0.3423

***

Which of these has the highest E?
Li6Mg12Al

***

E of number 8 (Re2SbTe)?
-7.325 eV/atom

***

What is the E in the eighth record?
-7.325 eV/atom

***

Which of these has the highest E?
Li6Mg12Al